[1]
A plane-wave DFT calculation with PBE was carried out for NaTaSb2O8 after structural relaxation.

Lattice parameters (Å, degrees): 4.8408 4.8373 6.3275 90.00 90.00 87.61
Last column: nearest neighbours and their distance in Å.
Positions (direct):
O 0.3046 0.3036 0.0000  2 Sb 2.12, 1 Ta 2.12
O 0.6816 0.6828 0.5000  2 Sb 2.01, 1 Na 2.22
O 0.7944 0.2065 0.7809  1 Ta 1.96, 1 Sb 1.98
O 0.2056 0.7935 0.2191  1 Ta 1.96, 1 Sb 1.98
O 0.2056 0.7935 0.7809  1 Ta 1.96, 1 Sb 1.98
O 0.3184 0.3172 0.5000  2 Sb 2.01, 1 Na 2.22
O 0.7944 0.2065 0.2191  1 Ta 1.96, 1 Sb 1.98
O 0.6954 0.6964 0.0000  2 Sb 2.12, 1 Ta 2.12
Sb 0.5000 0.5000 0.7451  6 O 1.98-2.12
Sb 0.5000 0.5000 0.2549  6 O 1.98-2.12
Na 0.0000 0.0000 0.5000  6 O 2.22-2.25
Ta 0.0000 0.0000 0.0000  6 O 1.96-2.12

Calculated values
Its crystal system is orthorhombic. The value obtained for the size of the total moment is 0.00 μB/cell. The energy relative to the elements, uncorrected is -1.85 eV/atom.

---

[2]
A plane-wave DFT calculation with PBE was carried out for Zr3Hg2 after structural relaxation.

Lattice parameters (Å, degrees): 4.8304 4.8304 5.9992 90.00 90.00 120.00
Last column: nearest neighbours and their distance in Å.
Positions (direct):
Hg 0.6667 0.3333 0.1686  8 Zr 2.90-3.09
Hg 0.3333 0.6667 0.8314  8 Zr 2.90-3.09
Zr 0.3333 0.6667 0.3472  5 Hg 2.90-3.09
Zr 0.0000 0.0000 0.0000  6 Hg 2.97
Zr 0.6667 0.3333 0.6528  5 Hg 2.90-3.09

Calculated values
Its crystal system is trigonal. Its formation enthalpy at 0 K is 0.169 eV/atom. The value obtained for the size of the total moment is 0.00 μB/cell.